Record 1
{
  "formula": "La3ReTe",
  "functional": "PBE",
  "state": "relaxed",
  "lattice_angstrom": [[5.526, 0.000, 0.000], [0.000, 5.526, 0.000], [0.000, 0.000, 5.526]],
  "species": ["La", "La", "La", "Te", "Re"],
  "frac_coords": [[0.000, 0.500, 0.000], [0.500, 0.000, 0.000], [0.000, 0.000, 0.500], [0.500, 0.500, 0.500], [0.000, 0.000, 0.000]],
  "spacegroup": "Pm-3m (221)",
  "formation_energy_uncorrected_kj_per_mol_fu": -126
}



Record 2
{
  "formula": "Y2TmAg",
  "functional": "PBE",
  "state": "relaxed",
  "lattice_angstrom": [[6.963, 0.000, 0.000], [0.000, 6.663, -0.930], [-3.482, -2.486, 5.171]],
  "species": ["Y", "Y", "Y", "Y", "Tm", "Tm", "Ag", "Ag"],
  "frac_coords": [[0.833, 0.330, 0.592], [0.167, 0.670, 0.408], [0.241, 0.170, 0.408], [0.759, 0.830, 0.592], [0.339, 0.250, 0.000], [0.661, 0.750, 0.000], [0.256, 0.750, 0.000], [0.744, 0.250, 0.000]],
  "e_form_ev_per_fu": -0.5,
  "de_polymorph_ev_per_atom": 0.007,
  "spacegroup": "C2/c (15)"
}



Record 3
{
  "formula": "PmSmY",
  "functional": "PBE",
  "state": "relaxed",
  "lattice_angstrom": [[-4.432, -2.132, 2.426], [-1.272, -0.986, -3.191], [4.183, -9.520, -0.726]],
  "species": ["Pm", "Pm", "Y", "Y", "Sm", "Sm"],
  "frac_coords": [[0.750, 0.707, 0.587], [0.250, 0.293, 0.413], [0.750, 0.882, 0.236], [0.250, 0.118, 0.764], [0.250, 0.459, 0.083], [0.750, 0.541, 0.917]],
  "e_form_ev_per_fu": 0.1,
  "de_polymorph_ev_per_atom": 0.026,
  "spacegroup": "Cmcm (63)"
}



Record 4
{
  "formula": "RbPm2W2N6",
  "functional": "PBE",
  "state": "relaxed",
  "lattice_angstrom": [[6.660, -0.232, 0.027], [3.123, 5.780, -0.196], [0.149, -3.495, 6.000]],
  "species": ["Rb", "Pm", "Pm", "N", "N", "N", "N", "N", "N", "W", "W"],
  "frac_coords": [[0.500, 0.000, 0.500], [0.826, 0.365, 0.790], [0.174, 0.635, 0.210], [0.159, 0.858, 0.594], [0.064, 0.550, 0.812], [0.415, 0.704, 0.935], [0.936, 0.450, 0.188], [0.585, 0.296, 0.065], [0.841, 0.142, 0.406], [0.171, 0.766, 0.812], [0.829, 0.234, 0.188]],
  "spacegroup": "P-1 (2)",
  "formation_energy_uncorrected_kj_per_mol_fu": -611
}



Record 5
{
  "formula": "Ac2Ga4Rh3",
  "functional": "PBE",
  "state": "relaxed",
  "lattice_angstrom": [[-1.140, -5.915, 1.202], [6.472, -1.977, -3.588], [4.455, 3.564, 6.072]],
  "species": ["Rh", "Rh", "Rh", "Rh", "Rh", "Rh", "Ga", "Ga", "Ga", "Ga", "Ga", "Ga", "Ga", "Ga", "Ac", "Ac", "Ac", "Ac"],
  "frac_coords": [[0.975, 0.250, 0.450], [0.500, 0.500, 0.000], [0.000, 0.000, 0.000], [0.525, 0.750, 0.550], [0.475, 0.250, 0.450], [0.025, 0.750, 0.550], [0.306, 0.250, 0.112], [0.806, 0.250, 0.112], [0.326, 0.498, 0.653], [0.694, 0.750, 0.888], [0.194, 0.750, 0.888], [0.174, 0.998, 0.347], [0.826, 0.002, 0.653], [0.674, 0.502, 0.347], [0.621, 0.912, 0.242], [0.879, 0.412, 0.758], [0.379, 0.088, 0.758], [0.121, 0.588, 0.242]],
  "e_form_ev_per_fu": -5.9,
  "spacegroup": "Cmce (64)"
}



Record 6
{
  "formula": "La2CdHg",
  "functional": "PBE",
  "state": "relaxed",
  "lattice_angstrom": [[8.734, 0.000, 0.000], [0.000, 8.734, 0.000], [4.367, 4.367, 3.440]],
  "species": ["La", "La", "La", "La", "Cd", "Cd", "Hg", "Hg"],
  "frac_coords": [[0.375, 0.361, 0.750], [0.639, 0.125, 0.250], [0.875, 0.889, 0.750], [0.111, 0.625, 0.250], [0.250, 0.750, 0.500], [0.500, 0.500, 0.000], [0.000, 0.000, 0.000], [0.750, 0.250, 0.500]],
  "e_form_ev_per_fu": -0.3,
  "de_polymorph_ev_per_atom": 0.339,
  "spacegroup": "I-42d (122)"
}



We obtain VASP energy values of -6.33; -5.19; -5.27; -8.42; -5.37; -2.84 eV/atom for the records listed above, in that order.